! InSnB3 PBE optimized geometry; values from VASP
&SYSTEM
  ibrav = 0, nat = 5, ntyp = 3
/
ATOMIC_SPECIES
In 114.82 In.upf
Sn 118.71 Sn.upf
B 10.81 B.upf
CELL_PARAMETERS angstrom
4.5433 0.0000 0.0000
0.0000 4.5433 0.0000
0.0000 0.0000 4.5433
ATOMIC_POSITIONS angstrom
In 0.0000 0.0000 0.0000
Sn 2.2716 2.2716 2.2716
B 0.0000 0.0000 2.2716
B 0.0000 2.2716 0.0000
B 2.2716 0.0000 0.0000
! Calculated volume, Å³ per atom: 18.76
! Calculated total energy, eV per atom: -3.265
! Density, Mg/m³: 4.71
! DOS(E_F), states/eV/cell: 1.558
! Crystal system: cubic
! Space-group type: Pm-3m (221)